#1
# La3NdPd

La3NdPd after structural relaxation (PBE, Alexandria).

D(E_F)	1.4273	states/eV per atom

Cell and atoms, written as CIF:
```
data_La3NdPd
_chemical_formula_sum 'La6 Nd2 Pd2'
_cell_length_a 6.3264
_cell_length_b 7.0071
_cell_length_c 8.0478
_cell_angle_alpha 90.03
_cell_angle_beta 90.00
_cell_angle_gamma 90.00
_symmetry_space_group_name_H-M 'P 1'
_symmetry_Int_Tables_number 1
_symmetry_space_group_name_Hall 'P 1'
loop_
_atom_site_label
_atom_site_fract_x
_atom_site_fract_y
_atom_site_fract_z
La1 0.4160 0.3247 0.2009
La2 0.4234 0.8720 0.9544
La3 0.9232 0.4806 0.4546
La4 0.9160 0.0281 0.7005
La5 0.9235 0.4806 0.9472
La6 0.4232 0.8722 0.4470
Nd1 0.4348 0.3215 0.7010
Nd2 0.9347 0.0313 0.2006
Pd1 0.1807 0.6757 0.7007
Pd2 0.6808 0.6771 0.2008
```

***

#2
# La3NdPd

La3NdPd after structural relaxation (PBE, Alexandria).

D(E_F)	1.3956	states/eV per atom

Cell and atoms, written as CIF:
```
data_La3NdPd
_chemical_formula_sum 'La12 Nd4 Pd4'
_cell_length_a 3.7888
_cell_length_b 11.9397
_cell_length_c 14.4536
_cell_angle_alpha 90.00
_cell_angle_beta 90.00
_cell_angle_gamma 90.00
_symmetry_space_group_name_H-M 'P 1'
_symmetry_Int_Tables_number 1
_symmetry_space_group_name_Hall 'P 1'
loop_
_atom_site_label
_atom_site_fract_x
_atom_site_fract_y
_atom_site_fract_z
La1 0.2500 0.0539 0.4006
La2 0.7500 0.4461 0.9006
La3 0.7500 0.9461 0.5994
La4 0.2500 0.5539 0.0994
La5 0.2500 0.2964 0.2492
La6 0.7500 0.2036 0.7492
La7 0.7500 0.7036 0.7508
La8 0.2500 0.7964 0.2508
La9 0.2500 0.4544 0.6804
La10 0.7500 0.0456 0.1804
La11 0.7500 0.5456 0.3196
La12 0.2500 0.9544 0.8196
Nd1 0.2500 0.1788 0.9919
Nd2 0.7500 0.3212 0.4919
Nd3 0.7500 0.8212 0.0081
Nd4 0.2500 0.6788 0.5081
Pd1 0.2500 0.1540 0.5948
Pd2 0.7500 0.3460 0.0948
Pd3 0.7500 0.8460 0.4052
Pd4 0.2500 0.6540 0.9052
```

***

If we sort the structures by their calculated energies, the order from most to least stable is #2, #1.

***

#1
# LaNd3Pd

LaNd3Pd after structural relaxation (PBE, Alexandria).

D(E_F)	1.1011	states/eV per atom

Cell and atoms, written as CIF:
```
data_LaNd3Pd
_chemical_formula_sum 'La4 Nd12 Pd4'
_cell_length_a 7.2394
_cell_length_b 8.4983
_cell_length_c 10.6827
_cell_angle_alpha 108.15
_cell_angle_beta 90.00
_cell_angle_gamma 90.00
_symmetry_space_group_name_H-M 'P 1'
_symmetry_Int_Tables_number 1
_symmetry_space_group_name_Hall 'P 1'
loop_
_atom_site_label
_atom_site_fract_x
_atom_site_fract_y
_atom_site_fract_z
La1 0.9800 0.6857 0.2695
La2 0.0200 0.3143 0.7305
La3 0.4800 0.3143 0.2305
La4 0.5200 0.6857 0.7695
Nd1 0.1404 0.0834 0.3903
Nd2 0.8596 0.9166 0.6097
Nd3 0.6404 0.9166 0.1097
Nd4 0.3596 0.0834 0.8903
Nd5 0.5013 0.7712 0.3661
Nd6 0.4987 0.2288 0.6339
Nd7 0.0013 0.2288 0.1339
Nd8 0.9987 0.7712 0.8661
Nd9 0.2245 0.5415 0.5131
Nd10 0.7755 0.4585 0.4869
Nd11 0.7245 0.4585 0.9869
Nd12 0.2755 0.5415 0.0131
Pd1 0.2661 0.9190 0.5993
Pd2 0.7339 0.0810 0.4007
Pd3 0.7661 0.0810 0.9007
Pd4 0.2339 0.9190 0.0993
```

***

#2
# LaNd3Pd

LaNd3Pd after structural relaxation (PBE, Alexandria).

D(E_F)	1.3016	states/eV per atom

Cell and atoms, written as CIF:
```
data_LaNd3Pd
_chemical_formula_sum 'La2 Nd6 Pd2'
_cell_length_a 3.8928
_cell_length_b 6.5256
_cell_length_c 13.1727
_cell_angle_alpha 83.29
_cell_angle_beta 81.50
_cell_angle_gamma 72.65
_symmetry_space_group_name_H-M 'P 1'
_symmetry_Int_Tables_number 1
_symmetry_space_group_name_Hall 'P 1'
loop_
_atom_site_label
_atom_site_fract_x
_atom_site_fract_y
_atom_site_fract_z
La1 0.1006 0.5020 0.2968
La2 0.2226 0.5585 0.9963
Nd1 0.4486 0.9546 0.1482
Nd2 0.7601 0.7196 0.7603
Nd3 0.1146 0.1558 0.6150
Nd4 0.9887 0.1152 0.9074
Nd5 0.7918 0.0323 0.3841
Nd6 0.4229 0.6258 0.5284
Pd1 0.7538 0.3470 0.1453
Pd2 0.4570 0.3261 0.7599
```

***

If we sort the structures by their calculated energies, the order from most to least stable is #2, #1.

***

#1
# LaNdPdPt

LaNdPdPt after structural relaxation (PBE, Alexandria).

D(E_F)	0.6581	states/eV per atom

Cell and atoms, written as CIF:
```
data_LaNdPdPt
_chemical_formula_sum 'La1 Nd1 Pd1 Pt1'
_cell_length_a 3.9477
_cell_length_b 4.6288
_cell_length_c 5.8268
_cell_angle_alpha 90.00
_cell_angle_beta 109.80
_cell_angle_gamma 90.00
_symmetry_space_group_name_H-M 'P 1'
_symmetry_Int_Tables_number 1
_symmetry_space_group_name_Hall 'P 1'
loop_
_atom_site_label
_atom_site_fract_x
_atom_site_fract_y
_atom_site_fract_z
La1 0.1364 0.0000 0.2728
Nd1 0.8649 0.5000 0.7297
Pd1 0.5874 0.5000 0.1748
Pt1 0.4113 0.0000 0.8226
```

***

#2
# LaNdPdPt

LaNdPdPt after structural relaxation (PBE, Alexandria).

D(E_F)	1.0644	states/eV per atom

Cell and atoms, written as CIF:
```
data_LaNdPdPt
_chemical_formula_sum 'La1 Nd1 Pd1 Pt1'
_cell_length_a 5.1534
_cell_length_b 5.1534
_cell_length_c 5.1534
_cell_angle_alpha 60.00
_cell_angle_beta 60.00
_cell_angle_gamma 60.00
_symmetry_space_group_name_H-M 'P 1'
_symmetry_Int_Tables_number 1
_symmetry_space_group_name_Hall 'P 1'
loop_
_atom_site_label
_atom_site_fract_x
_atom_site_fract_y
_atom_site_fract_z
Nd1 0.0000 0.0000 0.0000
Pd1 0.2500 0.2500 0.2500
Pt1 0.7500 0.7500 0.7500
La1 0.5000 0.5000 0.5000
```

***

If we sort the structures by their calculated energies, the order from most to least stable is #1, #2.

***

#1
# LaNdPdRh

LaNdPdRh after structural relaxation (PBE, Alexandria).

D(E_F)	0.6164	states/eV per atom

Cell and atoms, written as CIF:
```
data_LaNdPdRh
_chemical_formula_sum 'La1 Nd1 Pd1 Rh1'
_cell_length_a 5.0982
_cell_length_b 5.0982
_cell_length_c 5.0982
_cell_angle_alpha 60.00
_cell_angle_beta 60.00
_cell_angle_gamma 60.00
_symmetry_space_group_name_H-M 'P 1'
_symmetry_Int_Tables_number 1
_symmetry_space_group_name_Hall 'P 1'
loop_
_atom_site_label
_atom_site_fract_x
_atom_site_fract_y
_atom_site_fract_z
Rh1 0.5000 0.5000 0.5000
Nd1 0.2500 0.2500 0.2500
Pd1 0.0000 0.0000 0.0000
La1 0.7500 0.7500 0.7500
```

***

#2
# LaNdPdRh

LaNdPdRh after structural relaxation (PBE, Alexandria).

D(E_F)	0.6035	states/eV per atom

Cell and atoms, written as CIF:
```
data_LaNdPdRh
_chemical_formula_sum 'La1 Nd1 Pd1 Rh1'
_cell_length_a 3.9797
_cell_length_b 4.3808
_cell_length_c 5.9226
_cell_angle_alpha 90.00
_cell_angle_beta 109.63
_cell_angle_gamma 90.00
_symmetry_space_group_name_H-M 'P 1'
_symmetry_Int_Tables_number 1
_symmetry_space_group_name_Hall 'P 1'
loop_
_atom_site_label
_atom_site_fract_x
_atom_site_fract_y
_atom_site_fract_z
La1 0.8654 0.5000 0.7307
Nd1 0.1407 0.0000 0.2814
Pd1 0.5859 0.5000 0.1717
Rh1 0.4081 0.0000 0.8161
```

***

If we sort the structures by their calculated energies, the order from most to least stable is #2, #1.

***

#1
# LaNdZnPd

LaNdZnPd after structural relaxation (PBE, Alexandria).

D(E_F)	0.7593	states/eV per atom

Cell and atoms, written as CIF:
```
data_LaNdZnPd
_chemical_formula_sum 'La1 Nd1 Zn1 Pd1'
_cell_length_a 5.2201
_cell_length_b 5.2201
_cell_length_c 5.2201
_cell_angle_alpha 60.00
_cell_angle_beta 60.00
_cell_angle_gamma 60.00
_symmetry_space_group_name_H-M 'P 1'
_symmetry_Int_Tables_number 1
_symmetry_space_group_name_Hall 'P 1'
loop_
_atom_site_label
_atom_site_fract_x
_atom_site_fract_y
_atom_site_fract_z
Zn1 0.0000 0.0000 0.0000
Nd1 0.7500 0.7500 0.7500
Pd1 0.5000 0.5000 0.5000
La1 0.2500 0.2500 0.2500
```

***

#2
# LaNdZnPd

LaNdZnPd after structural relaxation (PBE, Alexandria).

D(E_F)	0.9482	states/eV per atom

Cell and atoms, written as CIF:
```
data_LaNdZnPd
_chemical_formula_sum 'La1 Nd1 Zn1 Pd1'
_cell_length_a 3.9704
_cell_length_b 4.5715
_cell_length_c 6.0575
_cell_angle_alpha 90.00
_cell_angle_beta 109.13
_cell_angle_gamma 90.00
_symmetry_space_group_name_H-M 'P 1'
_symmetry_Int_Tables_number 1
_symmetry_space_group_name_Hall 'P 1'
loop_
_atom_site_label
_atom_site_fract_x
_atom_site_fract_y
_atom_site_fract_z
La1 0.8585 0.5000 0.7170
Nd1 0.1372 0.0000 0.2745
Zn1 0.5743 0.5000 0.1486
Pd1 0.4300 0.0000 0.8600
```

***

If we sort the structures by their calculated energies, the order from most to least stable is #2, #1.

***

#1
# La6PmNd12

La6PmNd12 after structural relaxation (PBE, Alexandria).

D(E_F)	1.8273	states/eV per atom

Cell and atoms, written as CIF:
```
data_La6PmNd12
_chemical_formula_sum 'La6 Pm1 Nd12'
_cell_length_a 9.0847
_cell_length_b 9.7915
_cell_length_c 9.7915
_cell_angle_alpha 69.11
_cell_angle_beta 71.98
_cell_angle_gamma 108.02
_symmetry_space_group_name_H-M 'P 1'
_symmetry_Int_Tables_number 1
_symmetry_space_group_name_Hall 'P 1'
loop_
_atom_site_label
_atom_site_fract_x
_atom_site_fract_y
_atom_site_fract_z
La1 0.4210 0.4752 0.2101
La2 0.0542 0.6853 0.5248
La3 0.3689 0.7899 0.6853
La4 0.5790 0.5248 0.7899
La5 0.9458 0.3147 0.4752
La6 0.6311 0.2101 0.3147
Pm1 0.0000 0.0000 0.0000
Nd1 0.5279 0.8425 0.2624
Nd2 0.6854 0.8951 0.8425
Nd3 0.7903 0.2624 0.8951
Nd4 0.4721 0.1575 0.7376
Nd5 0.3146 0.1049 0.1575
Nd6 0.2097 0.7376 0.1049
Nd7 0.2622 0.4189 0.6322
Nd8 0.1056 0.3678 0.0511
Nd9 0.1567 0.0511 0.5811
Nd10 0.7378 0.5811 0.3678
Nd11 0.8944 0.6322 0.9489
Nd12 0.8434 0.9489 0.4189
```

***

#2
# La6PmNd12

La6PmNd12 after structural relaxation (PBE, Alexandria).

D(E_F)	1.4210	states/eV per atom

Cell and atoms, written as CIF:
```
data_La6PmNd12
_chemical_formula_sum 'La6 Pm1 Nd12'
_cell_length_a 9.5984
_cell_length_b 9.5984
_cell_length_c 9.5984
_cell_angle_alpha 109.47
_cell_angle_beta 109.47
_cell_angle_gamma 109.47
_symmetry_space_group_name_H-M 'P 1'
_symmetry_Int_Tables_number 1
_symmetry_space_group_name_Hall 'P 1'
loop_
_atom_site_label
_atom_site_fract_x
_atom_site_fract_y
_atom_site_fract_z
La1 0.3564 0.5000 0.8564
La2 0.6436 0.5000 0.1436
La3 0.5000 0.8564 0.3564
La4 0.5000 0.1436 0.6436
La5 0.8564 0.3564 0.5000
La6 0.1436 0.6436 0.5000
Pm1 0.0000 0.0000 0.0000
Nd1 0.2588 0.0569 0.7981
Nd2 0.2588 0.4607 0.2019
Nd3 0.7412 0.5393 0.7981
Nd4 0.7412 0.9431 0.2019
Nd5 0.0569 0.7981 0.2588
Nd6 0.4607 0.2019 0.2588
Nd7 0.5393 0.7981 0.7412
Nd8 0.9431 0.2019 0.7412
Nd9 0.7981 0.2588 0.0569
Nd10 0.2019 0.2588 0.4607
Nd11 0.7981 0.7412 0.5393
Nd12 0.2019 0.7412 0.9431
```

***

If we sort the structures by their calculated energies, the order from most to least stable is #1, #2.